VASP calculation (PBE-GGA) on a geometry-optimized Tb2SiSnPt6 structure.

Cell: 5.5083 6.4404 6.6010 Å, 74.06 65.64 64.72°
With the nearest neighbours (Å) after each atom.
Fractional coordinates of all 10 atoms:
Tb: 0.0013 0.2512 0.2475  7 Pt 2.88-3.14
Tb: 0.9987 0.7488 0.7525  7 Pt 2.88-3.14
Si: 0.5000 0.5000 0.0000  6 Pt 2.37-2.55
Sn: 0.5000 0.0000 0.5000  6 Pt 2.57-2.76
Pt: 0.0174 0.6764 0.2943  1 Si 2.55, 3 Pt 2.72-2.80, 1 Sn 2.76
Pt: 0.3306 0.9098 0.9295  1 Si 2.37, 1 Sn 2.57
Pt: 0.4889 0.3261 0.7037  1 Si 2.54, 3 Pt 2.72-2.80, 1 Sn 2.76
Pt: 0.5111 0.6739 0.2963  1 Si 2.54, 3 Pt 2.72-2.80, 1 Sn 2.76
Pt: 0.6694 0.0902 0.0705  1 Si 2.37, 1 Sn 2.57
Pt: 0.9826 0.3236 0.7057  1 Si 2.55, 3 Pt 2.72-2.80, 1 Sn 2.76

---

VASP calculation (PBE-GGA) on a geometry-optimized Tb2Si3SnPt4 structure.

Cell: 4.2579 4.2579 10.2831 Å, 90.00 90.00 90.00°
With the nearest neighbours (Å) after each atom.
Fractional coordinates of all 10 atoms:
Tb: 0.0000 0.5000 0.2362  6 Si 3.23-3.45, 8 Pt 3.23-3.24, 2 Sn 3.45
Tb: 0.5000 0.0000 0.7638  6 Si 3.23-3.45, 8 Pt 3.23-3.24, 2 Sn 3.45
Si: 0.0000 0.5000 0.8765  5 Pt 2.35-2.48
Si: 0.5000 0.0000 0.1235  5 Pt 2.35-2.48
Si: 0.5000 0.5000 0.5000  4 Pt 2.62
Sn: 0.0000 0.0000 0.5000  4 Pt 2.62
Pt: 0.0000 0.0000 0.0000  4 Si 2.48
Pt: 0.0000 0.5000 0.6477  3 Si 2.35-2.62, 2 Sn 2.62
Pt: 0.5000 0.0000 0.3523  3 Si 2.35-2.62, 2 Sn 2.62
Pt: 0.5000 0.5000 0.0000  4 Si 2.48

---

VASP calculation (PBE-GGA) on a geometry-optimized TbSi2Sn2Pt7 structure.

Cell: 3.9512 3.9512 15.4421 Å, 97.23 97.23 90.02°
With the nearest neighbours (Å) after each atom.
Fractional coordinates of all 12 atoms:
Tb: 0.0000 0.0000 0.0000  12 Pt 2.79-2.99
Si: 0.3832 0.3832 0.7624  5 Pt 2.34-2.40
Si: 0.6168 0.6168 0.2376  5 Pt 2.34-2.40
Sn: 0.2104 0.2104 0.4227  5 Pt 2.82-2.84
Sn: 0.7896 0.7896 0.5773  5 Pt 2.82-2.84
Pt: 0.0726 0.5725 0.1479  2 Si 2.40
Pt: 0.3045 0.3045 0.6084  1 Si 2.34
Pt: 0.4275 0.9274 0.8521  2 Si 2.40
Pt: 0.5000 0.5000 0.0000  4 Tb 2.79, 8 Pt 2.99
Pt: 0.5725 0.0726 0.1479  2 Si 2.40
Pt: 0.6955 0.6955 0.3916  1 Si 2.34
Pt: 0.9274 0.4275 0.8521  2 Si 2.40

---

VASP calculation (PBE-GGA) on a geometry-optimized SiSn2TePt structure.

Cell: 5.4075 5.4075 4.5359 Å, 90.00 90.00 90.00°
With the nearest neighbours (Å) after each atom.
Fractional coordinates of all 5 atoms:
Si: 0.0000 0.0000 0.0000  2 Pt 2.27
Sn: 0.0000 0.5000 0.0000  2 Si 2.70
Sn: 0.5000 0.0000 0.0000  2 Si 2.70
Te: 0.5000 0.5000 0.5000  8 Sn 3.53, 4 Pt 3.82
Pt: 0.0000 0.0000 0.5000  2 Si 2.27

---

VASP calculation (PBE-GGA) on a geometry-optimized Th2SiSnPt6 structure.

Cell: 5.5559 8.6152 8.7997 Å, 90.00 90.00 90.00°
With the nearest neighbours (Å) after each atom.
Fractional coordinates of all 20 atoms:
Th: 0.2500 0.0110 0.2457  7 Pt 3.05-3.33
Th: 0.2500 0.4890 0.2457  7 Pt 3.05-3.33
Th: 0.7500 0.5110 0.7543  7 Pt 3.05-3.33
Th: 0.7500 0.9890 0.7543  7 Pt 3.05-3.33
Si: 0.2500 0.7500 0.7380  6 Pt 2.37-2.51
Si: 0.7500 0.2500 0.2620  6 Pt 2.37-2.51
Sn: 0.2500 0.2500 0.7875  6 Pt 2.65-2.89
Sn: 0.7500 0.7500 0.2125  6 Pt 2.65-2.89
Pt: 0.0025 0.2500 0.4982  1 Si 2.51, 6 Pt 2.74-2.81
Pt: 0.0028 0.7500 0.9573  1 Si 2.37, 1 Sn 2.65
Pt: 0.2500 0.5008 0.6109  1 Si 2.42, 1 Sn 2.66
Pt: 0.2500 0.9992 0.6109  1 Si 2.42, 1 Sn 2.66
Pt: 0.4972 0.7500 0.9573  1 Si 2.37, 1 Sn 2.65
Pt: 0.4975 0.2500 0.4982  1 Si 2.51, 6 Pt 2.74-2.81
Pt: 0.5025 0.7500 0.5018  1 Si 2.51, 6 Pt 2.74-2.81
Pt: 0.5028 0.2500 0.0427  1 Si 2.37, 1 Sn 2.65
Pt: 0.7500 0.0008 0.3891  1 Si 2.42, 1 Sn 2.66
Pt: 0.7500 0.4992 0.3891  1 Si 2.42, 1 Sn 2.66
Pt: 0.9972 0.2500 0.0427  1 Si 2.37, 1 Sn 2.65
Pt: 0.9975 0.7500 0.5018  1 Si 2.51, 6 Pt 2.74-2.81

---

VASP calculation (PBE-GGA) on a geometry-optimized Th2Si3SnPt4 structure.

Cell: 4.2471 4.2471 10.6351 Å, 90.00 90.00 90.00°
With the nearest neighbours (Å) after each atom.
Fractional coordinates of all 10 atoms:
Th: 0.0000 0.5000 0.2338  6 Si 3.22-3.54, 8 Pt 3.25-3.27, 2 Sn 3.54
Th: 0.5000 0.0000 0.7662  6 Si 3.22-3.54, 8 Pt 3.25-3.27, 2 Sn 3.54
Si: 0.0000 0.5000 0.8747  5 Pt 2.39-2.51
Si: 0.5000 0.0000 0.1253  5 Pt 2.39-2.51
Si: 0.5000 0.5000 0.5000  4 Pt 2.66
Sn: 0.0000 0.0000 0.5000  4 Pt 2.66
Pt: 0.0000 0.0000 0.0000  4 Si 2.51
Pt: 0.0000 0.5000 0.6503  3 Si 2.39-2.66, 2 Sn 2.66
Pt: 0.5000 0.0000 0.3497  3 Si 2.39-2.66, 2 Sn 2.66
Pt: 0.5000 0.5000 0.0000  4 Si 2.51

---

VASP calculation (PBE-GGA) on a geometry-optimized Ti2SiSnPt structure.

Cell: 5.0084 5.0084 4.7640 Å, 90.00 90.00 90.00°
With the nearest neighbours (Å) after each atom.
Fractional coordinates of all 5 atoms:
Ti: 0.0000 0.5000 0.0000  2 Sn 2.50
Ti: 0.5000 0.0000 0.0000  2 Sn 2.50
Si: 0.0000 0.0000 0.5000  2 Sn 2.38
Sn: 0.0000 0.0000 0.0000  2 Si 2.38, 4 Ti 2.50
Pt: 0.5000 0.5000 0.5000  8 Ti 3.46, 4 Si 3.54

---

VASP calculation (PBE-GGA) on a geometry-optimized Y2Si3SnPt4 structure.

Cell: 4.2485 4.2485 10.3143 Å, 90.00 90.00 90.00°
With the nearest neighbours (Å) after each atom.
Fractional coordinates of all 10 atoms:
Y: 0.0000 0.5000 0.2358  6 Si 3.22-3.45, 8 Pt 3.23, 2 Sn 3.45
Y: 0.5000 0.0000 0.7642  6 Si 3.22-3.45, 8 Pt 3.23, 2 Sn 3.45
Si: 0.0000 0.5000 0.8764  5 Pt 2.35-2.48
Si: 0.5000 0.0000 0.1236  5 Pt 2.35-2.48
Si: 0.5000 0.5000 0.5000  4 Pt 2.62
Sn: 0.0000 0.0000 0.5000  4 Pt 2.62
Pt: 0.0000 0.0000 0.0000  4 Si 2.48
Pt: 0.0000 0.5000 0.6483  3 Si 2.35-2.62, 2 Sn 2.62
Pt: 0.5000 0.0000 0.3517  3 Si 2.35-2.62, 2 Sn 2.62
Pt: 0.5000 0.5000 0.0000  4 Si 2.48

---

VASP calculation (PBE-GGA) on a geometry-optimized Sr4SiPt4 structure.

Cell: 8.7812 8.7812 6.1811 Å, 90.00 90.00 90.00°
With the nearest neighbours (Å) after each atom.
Fractional coordinates of all 18 atoms:
Sr: 0.0367 0.6835 0.1098  6 Pt 3.12-3.47, 1 Si 3.41
Sr: 0.1835 0.9633 0.6098  6 Pt 3.12-3.47, 1 Si 3.41
Sr: 0.3165 0.5367 0.6098  6 Pt 3.12-3.47, 1 Si 3.41
Sr: 0.4633 0.8165 0.1098  6 Pt 3.12-3.47, 1 Si 3.41
Sr: 0.5367 0.1835 0.8902  6 Pt 3.12-3.47, 1 Si 3.41
Sr: 0.6835 0.4633 0.3902  6 Pt 3.12-3.47, 1 Si 3.41
Sr: 0.8165 0.0367 0.3902  6 Pt 3.12-3.47, 1 Si 3.41
Sr: 0.9633 0.3165 0.8902  6 Pt 3.12-3.47, 1 Si 3.41
Si: 0.2500 0.2500 0.2500  4 Pt 2.34
Si: 0.7500 0.7500 0.7500  4 Pt 2.34
Pt: 0.0347 0.3662 0.4010  1 Si 2.34
Pt: 0.1338 0.0347 0.0990  1 Si 2.34
Pt: 0.3662 0.4653 0.0990  1 Si 2.34
Pt: 0.4653 0.1338 0.4010  1 Si 2.34
Pt: 0.5347 0.8662 0.5990  1 Si 2.34
Pt: 0.6338 0.5347 0.9010  1 Si 2.34
Pt: 0.8662 0.9653 0.9010  1 Si 2.34
Pt: 0.9653 0.6338 0.5990  1 Si 2.34

---

VASP calculation (PBE-GGA) on a geometry-optimized Sr3Si2Pt4 structure.

Cell: 6.1723 6.1723 9.0808 Å, 110.61 110.61 40.26°
With the nearest neighbours (Å) after each atom.
Fractional coordinates of all 9 atoms:
Sr: 0.0000 0.0000 0.0000  8 Pt 3.21-3.59, 4 Si 3.46
Sr: 0.3906 0.3906 0.3068  6 Pt 3.10-3.47, 3 Si 3.25-3.32, 1 Sr 3.47
Sr: 0.6094 0.6094 0.6932  6 Pt 3.10-3.47, 3 Si 3.25-3.32, 1 Sr 3.47
Si: 0.3294 0.3294 0.6945  4 Pt 2.37-2.50
Si: 0.6706 0.6706 0.3055  4 Pt 2.37-2.50
Pt: 0.1626 0.1626 0.4229  3 Si 2.39-2.50
Pt: 0.2778 0.2778 0.9233  1 Si 2.37
Pt: 0.7222 0.7222 0.0767  1 Si 2.37
Pt: 0.8374 0.8374 0.5771  3 Si 2.39-2.50

---

Total DFT energy (no corrections) values (in eV per atom) by entry order: -6.316, -6.355, -6.174, -4.308, -6.983, -6.943, -4.953, -6.718, -4.881, -5.375.
E_form (uncorrected) values (in eV per atom) by entry order: -0.823, -0.985, -0.694, 0.214, -0.932, -1.016, 1.298, -0.982, -0.846, -0.925.
Magnetization values (in μB/f.u.) by entry order: 0.0, 0.0, 0.0, 0.0, 0.0, 0.0, 0.0, 0.0, 0.0, 0.0.